BeOs2Br | PBE | optimized geometry

Values from the calculation:
Spin magnetization = 0.00 μB/f.u.
ΔE to the lowest computed polymorph = 0.168 eV per atom
Formation energy from raw total energies = 275 kJ/mol of formula units

Lattice parameters (Å, degrees): 5.7618 5.7618 5.7618 151.51 139.90 49.92
Closest atoms and distances in Å follow each position.
Fractional coordinates of all 4 atoms:
Os (0.5530, 0.5530, 0.0000)  2 Be 2.50, 4 Os 2.67
Os (0.9470, 0.9470, 0.0000)  2 Be 2.50, 4 Os 2.67
Be (0.7500, 0.2500, 0.5000)  4 Br 2.43, 4 Os 2.50
Br (0.2500, 0.7500, 0.5000)  4 Be 2.43

---

TeRhSe | PBE | optimized geometry

Values from the calculation:
Spin magnetization = 0.00 μB/f.u.
ΔE to the lowest computed polymorph = 0.031 eV per atom
Formation energy from raw total energies = -108 kJ/mol of formula units

Lattice parameters (Å, degrees): 3.8214 3.8214 5.2521 90.00 90.00 120.00
Closest atoms and distances in Å follow each position.
Fractional coordinates of all 3 atoms:
Se (0.6667, 0.3333, 0.2518)  3 Rh 2.54
Te (0.3333, 0.6667, 0.7357)  3 Rh 2.64
Rh (0.0000, 0.0000, 0.0125)  3 Se 2.54, 3 Te 2.64

---

PmSbF | PBE | optimized geometry

Values from the calculation:
Spin magnetization = 0.00 μB/f.u.
ΔE to the lowest computed polymorph = 0.210 eV per atom
Formation energy from raw total energies = -550 kJ/mol of formula units

Lattice parameters (Å, degrees): 3.4010 3.4010 6.2584 105.77 105.77 90.00
Closest atoms and distances in Å follow each position.
Fractional coordinates of all 3 atoms:
Sb (0.0067, 0.0067, 0.0134)  1 F 3.14, 5 Pm 3.37-3.40, 4 Sb 3.40
Pm (0.7147, 0.7147, 0.4295)  4 F 2.52
F (0.2785, 0.2785, 0.5571)  4 Pm 2.52

---

Pu2PaRe | PBE | optimized geometry

Values from the calculation:
Spin magnetization = 9.19 μB/f.u.
ΔE to the lowest computed polymorph = 0.000 eV per atom
Formation enthalpy at 0 K = 0.5 eV per formula unit

Lattice parameters (Å, degrees): 3.4040 3.4040 7.2293 90.00 90.00 90.00
Closest atoms and distances in Å follow each position.
Fractional coordinates of all 4 atoms:
Pu (0.0000, 0.0000, 0.7720)  4 Re 2.92, 4 Pa 3.11
Pu (0.0000, 0.0000, 0.2280)  4 Re 2.92, 4 Pa 3.11
Pa (0.5000, 0.5000, 0.5000)  8 Pu 3.11, 4 Pa 3.40
Re (0.5000, 0.5000, 0.0000)  8 Pu 2.92

---

AcNdAl | PBE | optimized geometry

Values from the calculation:
Spin magnetization = 0.00 μB/f.u.
ΔE to the lowest computed polymorph = 0.037 eV per atom
Formation enthalpy at 0 K = -0.3 eV per formula unit

Lattice parameters (Å, degrees): 5.2927 5.2927 8.0409 90.00 90.01 60.00
Closest atoms and distances in Å follow each position.
Fractional coordinates of all 6 atoms:
Al (0.0000, 0.5000, 0.1806)  1 Al 2.90, 3 Nd 3.13
Al (0.0000, 0.5000, 0.8194)  1 Al 2.90, 3 Nd 3.13
Ac (0.3333, 0.8333, 0.6231)  3 Al 3.44, 3 Ac 3.64, 4 Nd 3.79-3.81
Ac (0.6667, 0.1667, 0.3769)  3 Al 3.44, 3 Ac 3.64, 4 Nd 3.79-3.81
Nd (0.3333, 0.8333, 0.0971)  3 Al 3.13, 3 Nd 3.43
Nd (0.6667, 0.1667, 0.9029)  3 Al 3.13, 3 Nd 3.43

---

Pm8Al2Sn | PBE | optimized geometry

Values from the calculation:
Spin magnetization = 0.00 μB/f.u.
Formation enthalpy at 0 K = -2.9 eV per formula unit

Lattice parameters (Å, degrees): 4.9921 8.1029 8.9858 110.26 106.13 90.00
Closest atoms and distances in Å follow each position.
Fractional coordinates of all 11 atoms:
Pm (0.6771, 0.9378, 0.3542)  1 Al 3.11, 1 Sn 3.27, 4 Pm 3.35-3.43
Pm (0.3229, 0.0622, 0.6458)  1 Al 3.11, 1 Sn 3.27, 4 Pm 3.35-3.43
Pm (0.9511, 0.2645, 0.9022)  1 Al 3.17, 2 Pm 3.35
Pm (0.1578, 0.2300, 0.3156)  3 Al 3.21-3.26, 5 Pm 3.41-3.57
Pm (0.6047, 0.4563, 0.2093)  3 Al 3.23-3.53, 4 Pm 3.41-3.56, 1 Sn 3.48
Pm (0.8422, 0.7700, 0.6844)  3 Al 3.21-3.26, 5 Pm 3.41-3.57
Pm (0.3953, 0.5437, 0.7907)  3 Al 3.23-3.53, 4 Pm 3.41-3.56, 1 Sn 3.48
Pm (0.0489, 0.7355, 0.0978)  1 Al 3.17, 2 Pm 3.35
Al (0.2171, 0.6602, 0.4342)  7 Pm 3.11-3.26
Al (0.7829, 0.3398, 0.5658)  7 Pm 3.11-3.26
Sn (0.5000, 0.0000, 0.0000)  8 Pm 3.27-3.58

---

TaNbAs3 | PBE | optimized geometry

Values from the calculation:
Spin magnetization = 0.00 μB/f.u.
ΔE to the lowest computed polymorph = 0.301 eV per atom
Formation enthalpy at 0 K = 5.2 eV per formula unit

Lattice parameters (Å, degrees): 4.9040 4.9040 4.9040 90.00 90.00 90.00
Closest atoms and distances in Å follow each position.
Fractional coordinates of all 5 atoms:
Nb (0.0000, 0.0000, 0.0000)  6 As 2.45
As (0.0000, 0.5000, 0.0000)  2 Nb 2.45
As (0.5000, 0.0000, 0.0000)  2 Nb 2.45
As (0.0000, 0.0000, 0.5000)  2 Nb 2.45
Ta (0.5000, 0.5000, 0.5000)  12 As 3.47

---

RbAgSCl2 | PBE | optimized geometry

Values from the calculation:
Spin magnetization = 1.22 μB/f.u.
ΔE to the lowest computed polymorph = 0.000 eV per atom
Formation energy from raw total energies = -294 kJ/mol of formula units

Lattice parameters (Å, degrees): 5.3613 5.3613 4.8342 90.00 90.00 90.00
Closest atoms and distances in Å follow each position.
Fractional coordinates of all 5 atoms:
Ag (0.0000, 0.0000, 0.0000)  2 S 2.42, 4 Cl 2.68
S (0.0000, 0.0000, 0.5000)  2 Ag 2.42
Cl (0.5000, 0.0000, 0.0000)  2 Ag 2.68
Cl (0.0000, 0.5000, 0.0000)  2 Ag 2.68
Rb (0.5000, 0.5000, 0.5000)  8 Cl 3.61, 4 S 3.79

---

TiAg8S6 | PBE | optimized geometry

Values from the calculation:
Spin magnetization = 0.00 μB/f.u.
ΔE to the lowest computed polymorph = 0.000 eV per atom
Formation energy from raw total energies = -404 kJ/mol of formula units

Lattice parameters (Å, degrees): 7.5592 7.7081 10.6960 90.00 90.00 90.00
Closest atoms and distances in Å follow each position.
Fractional coordinates of all 30 atoms:
S (0.5029, 0.0000, 0.3452)  1 Ti 2.31, 1 Ag 2.44
S (0.7214, 0.0000, 0.9861)  5 Ag 2.46-2.59
S (0.7583, 0.7532, 0.5999)  1 Ti 2.29, 1 Ag 2.56
S (0.2044, 0.0000, 0.7495)  6 Ag 2.50-2.70
S (0.7956, 0.5000, 0.2495)  6 Ag 2.50-2.70
S (0.4971, 0.5000, 0.8452)  1 Ti 2.31, 1 Ag 2.44
S (0.7583, 0.2468, 0.5999)  1 Ti 2.29, 1 Ag 2.56
S (0.2417, 0.2532, 0.0999)  1 Ti 2.29, 1 Ag 2.56
S (0.9720, 0.0000, 0.3429)  1 Ti 2.30, 2 Ag 2.51
S (0.0280, 0.5000, 0.8429)  1 Ti 2.30, 2 Ag 2.51
S (0.2786, 0.5000, 0.4861)  5 Ag 2.46-2.59
S (0.2417, 0.7468, 0.0999)  1 Ti 2.29, 1 Ag 2.56
Ag (0.5199, 0.6997, 0.2319)  3 S 2.56-2.62
Ag (0.1503, 0.2750, 0.3509)  2 S 2.46-2.51
Ag (0.1096, 0.7053, 0.6340)  4 S 2.58-2.81
Ag (0.6203, 0.5000, 0.4697)  4 S 2.59-2.70
Ag (0.1096, 0.2947, 0.6340)  4 S 2.58-2.81
Ag (0.8904, 0.7947, 0.1340)  4 S 2.58-2.81
Ag (0.3797, 0.0000, 0.9697)  4 S 2.59-2.70
Ag (0.4801, 0.1997, 0.7319)  3 S 2.56-2.62
Ag (0.8904, 0.2053, 0.1340)  4 S 2.58-2.81
Ag (0.5199, 0.3003, 0.2319)  3 S 2.56-2.62
Ag (0.1503, 0.7250, 0.3509)  2 S 2.46-2.51
Ag (0.6896, 0.5000, 0.0277)  2 S 2.44-2.50
Ag (0.4801, 0.8003, 0.7319)  3 S 2.56-2.62
Ag (0.8497, 0.2250, 0.8509)  2 S 2.46-2.51
Ag (0.8497, 0.7750, 0.8509)  2 S 2.46-2.51
Ag (0.3104, 0.0000, 0.5277)  2 S 2.44-2.50
Ti (0.2611, 0.5000, 0.9817)  4 S 2.29-2.31
Ti (0.7389, 0.0000, 0.4817)  4 S 2.29-2.31

---

CaEr2Ga | PBE | optimized geometry

Values from the calculation:
Spin magnetization = 0.00 μB/f.u.
ΔE to the lowest computed polymorph = 0.000 eV per atom
Formation enthalpy at 0 K = -0.9 eV per formula unit

Lattice parameters (Å, degrees): 3.5568 3.5568 9.1840 90.00 90.00 90.00
Closest atoms and distances in Å follow each position.
Fractional coordinates of all 4 atoms:
Er (0.0000, 0.0000, 0.8108)  4 Ga 3.06
Er (0.0000, 0.0000, 0.1892)  4 Ga 3.06
Ga (0.5000, 0.5000, 0.0000)  8 Er 3.06
Ca (0.5000, 0.5000, 0.5000)  4 Ca 3.56, 8 Er 3.80